No. 1
Material: Tm2Tl2Cd
Method: DFT, PBE
State: optimized geometry Values from VASP.

The structure in Quantum ESPRESSO input format:
```
&SYSTEM
  ibrav = 0, nat = 10, ntyp = 3
/
ATOMIC_SPECIES
Tl 204.38 Tl.upf
Tm 168.93 Tm.upf
Cd 112.41 Cd.upf
CELL_PARAMETERS angstrom
-2.337 3.525 -1.094
0.205 -2.182 -7.469
-6.573 -4.047 1.002
ATOMIC_POSITIONS crystal
Tl 0.000 0.863 0.637
Tm 0.500 0.668 0.832
Tl 0.000 0.363 0.863
Tl 0.000 0.637 0.137
Cd 0.000 0.500 0.500
Tm 0.500 0.168 0.668
Tm 0.500 0.332 0.168
Tm 0.500 0.832 0.332
Cd 0.000 0.000 0.000
Tl 0.000 0.137 0.363
```

ΔE to the lowest computed polymorph: 0.0000 eV/atom
Density of states at the Fermi level: 6.950 states/eV per cell
Magnetic moment: 0.000 μB/cell
Energy of formation: -0.220 eV/atom

***

No. 2
Material: Ti5Fe4Sb4
Method: DFT, PBE
State: optimized geometry Values from VASP.

The structure in Quantum ESPRESSO input format:
```
&SYSTEM
  ibrav = 0, nat = 13, ntyp = 3
/
ATOMIC_SPECIES
Sb 121.76 Sb.upf
Ti 47.87 Ti.upf
Fe 55.84 Fe.upf
CELL_PARAMETERS angstrom
-3.821 -7.770 -12.918
0.356 -7.776 -13.464
-1.466 -10.768 -11.124
ATOMIC_POSITIONS crystal
Sb 0.620 0.620 0.620
Ti 0.561 0.561 0.561
Fe 0.979 0.979 0.979
Sb 0.149 0.149 0.149
Ti 0.084 0.084 0.084
Sb 0.866 0.866 0.866
Ti 0.321 0.321 0.321
Sb 0.385 0.385 0.385
Fe 0.741 0.741 0.741
Ti 0.683 0.683 0.683
Fe 0.504 0.504 0.504
Fe 0.255 0.255 0.255
Ti 0.790 0.790 0.790
```

ΔE to the lowest computed polymorph: 0.3460 eV/atom
Density of states at the Fermi level: 6.156 states/eV per cell
Magnetic moment: 1.369 μB/cell
Formation energy without anion corrections: -0.04 eV/atom

***

No. 3
Material: NaMo3Se
Method: DFT, PBE
State: optimized geometry Values from VASP.

The structure in Quantum ESPRESSO input format:
```
&SYSTEM
  ibrav = 0, nat = 5, ntyp = 3
/
ATOMIC_SPECIES
Na 22.99 Na.upf
Se 78.96 Se.upf
Mo 95.94 Mo.upf
CELL_PARAMETERS angstrom
4.622 0.000 0.000
0.000 4.622 0.000
0.000 0.000 4.622
ATOMIC_POSITIONS crystal
Na 0.000 0.000 0.000
Se 0.500 0.500 0.500
Mo 0.000 0.500 0.000
Mo 0.500 0.000 0.000
Mo 0.000 0.000 0.500
```

ΔE to the lowest computed polymorph: 1.4107 eV/atom
Density of states at the Fermi level: 7.269 states/eV per cell
Magnetic moment: 3.137 μB/cell
Formation energy without anion corrections: 2.66 eV/atom